one) ## BiSe2SBr (PBE)

Data for a geometry-optimized BiSe2SBr structure.

Lattice parameters (Å, degrees): 5.636 5.636 5.674 90.00 90.00 90.00
Positions (direct):
1 Bi 0.000 0.000 0.000
2 Se 0.000 0.500 0.000
3 Se 0.500 0.000 0.000
4 S 0.500 0.500 0.500
5 Br 0.000 0.000 0.500

=====

two) ## BiSe2SBr (PBE)

Data for a geometry-optimized BiSe2SBr structure.

Lattice parameters (Å, degrees): 4.957 4.957 5.095 90.00 90.00 90.00
Positions (direct):
1 Bi 0.000 0.000 0.000
2 Se 0.000 0.500 0.500
3 Se 0.500 0.000 0.500
4 S 0.500 0.500 0.500
5 Br 0.500 0.500 0.000

=====

Among the structures above, stability is smallest for one).